A plane-wave DFT calculation with GGA-PBE was carried out for an optimized crystal structure of DyErGePd. Values from VASP.

Total moment = 0.0 μB/f.u.
Energy above the lowest structure with this stoichiometry = 0.00 kcal/mol of atoms
Formation energy = -86.6 kJ per mole of atoms

Cell and atoms, written as Quantum ESPRESSO input:
```
&SYSTEM
  ibrav = 0, nat = 4, ntyp = 4
/
ATOMIC_SPECIES
Dy 162.50 Dy.upf
Er 167.26 Er.upf
Ge 72.64 Ge.upf
Pd 106.42 Pd.upf
ATOMIC_POSITIONS angstrom
Dy 0.000 0.000 0.000
Er 2.150 0.000 3.021
Ge 0.000 0.000 7.839
Pd 2.150 0.000 6.071
CELL_PARAMETERS angstrom
4.300 0.000 0.000
0.000 1.941 5.418
0.000 -1.941 5.418
```

A plane-wave DFT calculation with GGA-PBE was carried out for an optimized crystal structure of La2TiAg. Values from VASP.

Total moment = 0.0 μB/f.u.
Energy above the lowest structure with this stoichiometry = 0.00 kcal/mol of atoms
Formation energy = 7.5 kJ per mole of atoms

Cell and atoms, written as Quantum ESPRESSO input:
```
&SYSTEM
  ibrav = 0, nat = 4, ntyp = 3
/
ATOMIC_SPECIES
La 138.91 La.upf
Ti 47.87 Ti.upf
Ag 107.87 Ag.upf
ATOMIC_POSITIONS angstrom
La 0.000 2.781 0.000
La 2.781 0.000 0.000
Ti 0.000 0.000 1.726
Ag 2.781 2.781 1.726
CELL_PARAMETERS angstrom
5.562 0.000 0.000
0.000 5.562 0.000
0.000 0.000 3.453
```

A plane-wave DFT calculation with GGA-PBE was carried out for an optimized crystal structure of Na2Sr2Os. Values from VASP.

Total moment = 0.0 μB/f.u.
Energy above the lowest structure with this stoichiometry = 0.00 kcal/mol of atoms
Formation energy = 76.5 kJ per mole of atoms

Cell and atoms, written as Quantum ESPRESSO input:
```
&SYSTEM
  ibrav = 0, nat = 10, ntyp = 3
/
ATOMIC_SPECIES
Na 22.99 Na.upf
Sr 87.62 Sr.upf
Os 190.23 Os.upf
ATOMIC_POSITIONS angstrom
Na 1.007 2.814 0.000
Na 2.814 6.636 0.000
Na 4.829 1.007 0.000
Na 6.636 4.829 0.000
Sr 1.521 5.343 2.521
Sr 2.300 1.521 2.521
Sr 5.343 6.121 2.521
Sr 6.121 2.300 2.521
Os 0.000 0.000 0.000
Os 3.821 3.821 0.000
CELL_PARAMETERS angstrom
7.643 0.000 0.000
0.000 7.643 0.000
0.000 0.000 5.042
```

A plane-wave DFT calculation with GGA-PBE was carried out for an optimized crystal structure of Sc2ZnB2Rh5. Values from VASP.

Total moment = 0.0 μB/f.u.
Formation energy = -79.6 kJ per mole of atoms

Cell and atoms, written as Quantum ESPRESSO input:
```
&SYSTEM
  ibrav = 0, nat = 20, ntyp = 4
/
ATOMIC_SPECIES
Sc 44.96 Sc.upf
Zn 65.41 Zn.upf
B 10.81 B.upf
Rh 102.91 Rh.upf
ATOMIC_POSITIONS angstrom
Sc 1.633 3.034 0.000
Sc 3.034 7.700 0.000
Sc 6.300 1.633 0.000
Sc 7.700 6.300 0.000
Zn 0.000 0.000 0.000
Zn 4.667 4.667 0.000
B 1.172 5.839 0.000
B 3.494 1.172 0.000
B 5.839 8.161 0.000
B 8.161 3.494 0.000
Rh 0.000 4.667 1.538
Rh 0.660 7.309 1.538
Rh 2.024 0.660 1.538
Rh 2.642 5.327 1.538
Rh 4.006 2.642 1.538
Rh 4.667 0.000 1.538
Rh 5.327 6.691 1.538
Rh 6.691 4.006 1.538
Rh 7.309 8.673 1.538
Rh 8.673 2.024 1.538
CELL_PARAMETERS angstrom
9.333 0.000 0.000
0.000 9.333 0.000
0.000 0.000 3.076
```

> Among the records above, which one has the lowest formation energy?

DyErGePd

> Among the records above, which one has the lowest formation energy?

DyErGePd

> Which value of total moment does entry 4 give?

0.0 μB/f.u.

> The highest formation energy belongs to which entry?

Na2Sr2Os